The following is a GGA-PBE calculation of a relaxed In3F crystal, from Alexandria.

a = 7.515 Å, b = 7.515 Å, c = 7.515 Å
α = 154.36°, β = 44.47°, γ = 144.29°
Sites, in units of the cell vectors:
In  0.000  0.000  0.000
In  0.376  0.171  0.205
In  0.966  0.171  0.795
F  0.671  0.171  0.500

Values from the calculation:
Space group: No. 44
ΔE_f (raw): -285 kJ/mol of formula units

=====

The following is a GGA-PBE calculation of a relaxed ErTl2PbF6 crystal, from Alexandria.

a = 6.191 Å, b = 9.257 Å, c = 7.240 Å
α = 90.00°, β = 90.00°, γ = 90.00°
Sites, in units of the cell vectors:
Er  0.250  0.250  0.227
Er  0.750  0.750  0.773
Tl  0.250  0.000  0.780
Tl  0.250  0.500  0.780
Tl  0.750  0.000  0.220
Tl  0.750  0.500  0.220
Pb  0.250  0.750  0.280
Pb  0.750  0.250  0.720
F  0.008  0.250  0.008
F  0.010  0.750  0.576
F  0.250  0.015  0.213
F  0.250  0.485  0.213
F  0.490  0.750  0.576
F  0.492  0.250  0.008
F  0.508  0.750  0.992
F  0.510  0.250  0.424
F  0.750  0.515  0.787
F  0.750  0.985  0.787
F  0.990  0.250  0.424
F  0.992  0.750  0.992

Values from the calculation:
Space group: No. 59
ΔE_f (raw): -2499 kJ/mol of formula units

=====

The following is a GGA-PBE calculation of a relaxed Ce5Ru crystal, from Alexandria.

a = 8.444 Å, b = 8.444 Å, c = 10.650 Å
α = 90.00°, β = 90.00°, γ = 156.87°
Sites, in units of the cell vectors:
Ce  0.000  0.000  0.000
Ce  0.000  0.000  0.500
Ce  0.181  0.819  0.555
Ce  0.181  0.819  0.945
Ce  0.372  0.628  0.750
Ce  0.454  0.546  0.250
Ce  0.546  0.454  0.750
Ce  0.628  0.372  0.250
Ce  0.819  0.181  0.055
Ce  0.819  0.181  0.445
Ru  0.260  0.740  0.250
Ru  0.740  0.260  0.750

Values from the calculation:
Space group: No. 63
Energy relative to the elements: -5.6 kJ/mol of atoms

=====

The following is a GGA-PBE calculation of a relaxed Cr3NiBi crystal, from Alexandria.

a = 4.610 Å, b = 4.610 Å, c = 4.610 Å
α = 90.00°, β = 90.00°, γ = 90.00°
Sites, in units of the cell vectors:
Cr  0.000  0.000  0.500
Cr  0.000  0.500  0.000
Cr  0.500  0.000  0.000
Ni  0.000  0.000  0.000
Bi  0.500  0.500  0.500

Values from the calculation:
Space group: No. 221
Energy relative to the elements: 89.7 kJ/mol of atoms

=====

The following is a GGA-PBE calculation of a relaxed BaMnRh2 crystal, from Alexandria.

a = 3.384 Å, b = 3.384 Å, c = 7.276 Å
α = 90.00°, β = 90.00°, γ = 90.00°
Sites, in units of the cell vectors:
Ba  0.000  0.000  0.000
Mn  0.500  0.500  0.370
Rh  0.000  0.000  0.495
Rh  0.500  0.500  0.708

Values from the calculation:
Space group: No. 99
Energy relative to the elements: 30.2 kJ/mol of atoms

=====

The following is a GGA-PBE calculation of a relaxed ErPa2Ta crystal, from Alexandria.

a = 11.834 Å, b = 11.834 Å, c = 11.834 Å
α = 15.02°, β = 15.02°, γ = 15.02°
Sites, in units of the cell vectors:
Er  0.000  0.000  0.000
Pa  0.090  0.090  0.090
Pa  0.910  0.910  0.910
Ta  0.500  0.500  0.500

Values from the calculation:
Space group: No. 166
Energy relative to the elements: 33.7 kJ/mol of atoms